[1]
First-principles (GGA-PBEsol) data for crystalline Ba2AgW at its relaxed geometry, as listed in Alexandria.

- size of the total moment (μB per cell) = 0.00
- electronic total energy (eV per atom) = -4.48

Cell lengths 3.317, 3.921, 9.236 Å; angles 90.00, 90.00, 90.00 degrees
Sites, in units of the cell vectors:
Ba1 0.000 0.000 0.000
Ba2 0.500 0.500 0.407
Ag1 0.000 0.000 0.642
W1 0.500 0.500 0.745

---

[2]
First-principles (GGA-PBEsol) data for crystalline SmPPd at its relaxed geometry, as listed in Alexandria.

- size of the total moment (μB per cell) = 0.00
- electronic total energy (eV per atom) = -6.91

Cell lengths 4.138, 4.138, 7.694 Å; angles 90.00, 90.00, 120.00 degrees
Sites, in units of the cell vectors:
Sm1 0.000 0.000 0.000
Sm2 0.000 0.000 0.500
P1 0.333 0.667 0.250
P2 0.667 0.333 0.750
Pd1 0.333 0.667 0.750
Pd2 0.667 0.333 0.250

---

[3]
First-principles (GGA-PBEsol) data for crystalline YB3O6 at its relaxed geometry, as listed in Alexandria.

- size of the total moment (μB per cell) = 0.00
- electronic total energy (eV per atom) = -8.72
- formation energy without anion corrections (eV/atom) = -2.787

Cell lengths 6.239, 6.239, 6.118 Å; angles 116.70, 116.70, 79.71 degrees
Sites, in units of the cell vectors:
Y1 0.205 0.795 0.750
Y2 0.795 0.205 0.250
B1 0.212 0.337 0.907
B2 0.221 0.779 0.250
B3 0.337 0.212 0.407
B4 0.663 0.788 0.593
B5 0.779 0.221 0.750
B6 0.788 0.663 0.093
O1 0.006 0.787 0.298
O2 0.203 0.394 0.492
O3 0.213 0.994 0.202
O4 0.214 0.585 0.001
O5 0.394 0.203 0.992
O6 0.415 0.786 0.499
O7 0.585 0.214 0.501
O8 0.606 0.797 0.008
O9 0.786 0.415 0.999
O10 0.787 0.006 0.798
O11 0.797 0.606 0.508
O12 0.994 0.213 0.702

---

[4]
First-principles (GGA-PBEsol) data for crystalline KLa4Hg at its relaxed geometry, as listed in Alexandria.

- size of the total moment (μB per cell) = 0.00
- electronic total energy (eV per atom) = -3.50

Cell lengths 6.606, 6.606, 6.606 Å; angles 60.00, 60.00, 60.00 degrees
Sites, in units of the cell vectors:
K1 0.000 0.000 0.000
La1 0.381 0.381 0.381
La2 0.381 0.381 0.858
La3 0.381 0.858 0.381
La4 0.858 0.381 0.381
Hg1 0.750 0.750 0.750

---

Number 1: density of states at the Fermi level 1.3032 states/eV/atom. Number 2: density of states at the Fermi level 0.3253 states/eV/atom. Number 3: density of states at the Fermi level 0.0000 states/eV/atom. Number 4: density of states at the Fermi level 1.2670 states/eV/atom.